<i>
Compound: CaB2H2
Source: Alexandria via LeMat-Bulk
Functional: GGA-PBE
Structure: optimized geometry

a = 4.5503 Å, b = 4.5503 Å, c = 7.8410 Å
α = 90.00°, β = 90.00°, γ = 138.68°
Last column: nearest neighbours and their distance in Å.
Element x y z (fractional)
Ca1 0.1568 0.8432 0.5000  4 H 2.20-2.26
Ca2 0.8432 0.1568 0.0000  4 H 2.20-2.26
B1 0.1240 0.8760 0.1526  1 H 1.26
B2 0.4139 0.5861 0.7194  1 H 1.25
B3 0.5861 0.4139 0.2194  1 H 1.25
B4 0.8760 0.1240 0.6526  1 H 1.26
H1 0.1668 0.8332 0.9985  1 B 1.26
H2 0.4799 0.5201 0.8619  1 B 1.25
H3 0.5201 0.4799 0.3619  1 B 1.25
H4 0.8332 0.1668 0.4985  1 B 1.26

Computed properties:
**Total moment**: 0.0 μB per formula unit
**Mass density**: 2.0 Mg/m³


<ii>
Compound: CaB2H2
Source: Alexandria via LeMat-Bulk
Functional: GGA-PBE
Structure: optimized geometry

a = 17.1264 Å, b = 3.2048 Å, c = 3.4605 Å
α = 90.00°, β = 90.00°, γ = 90.00°
Last column: nearest neighbours and their distance in Å.
Element x y z (fractional)
Ca1 0.1145 0.2500 0.0436  4 H 2.10-2.34
Ca2 0.3855 0.7500 0.5436  4 H 2.10-2.34
Ca3 0.6145 0.2500 0.4564  4 H 2.10-2.34
Ca4 0.8855 0.7500 0.9564  4 H 2.10-2.34
B1 0.0111 0.7500 0.4412  1 H 1.23
B2 0.2377 0.7500 0.6415  1 H 1.26
B3 0.2623 0.2500 0.1415  1 H 1.26
B4 0.4889 0.2500 0.9412  1 H 1.23
B5 0.5111 0.7500 0.0588  1 H 1.23
B6 0.7377 0.7500 0.8585  1 H 1.26
B7 0.7623 0.2500 0.3585  1 H 1.26
B8 0.9889 0.2500 0.5588  1 H 1.23
H1 0.0367 0.7500 0.1090  1 B 1.23
H2 0.1643 0.7500 0.6151  1 B 1.26
H3 0.3357 0.2500 0.1151  1 B 1.26
H4 0.4633 0.2500 0.6090  1 B 1.23
H5 0.5367 0.7500 0.3910  1 B 1.23
H6 0.6643 0.7500 0.8849  1 B 1.26
H7 0.8357 0.2500 0.3849  1 B 1.26
H8 0.9633 0.2500 0.8910  1 B 1.23

Computed properties:
**Total moment**: 0.0 μB per formula unit
**Mass density**: 2.2 Mg/m³


Going by the energies, <i> is most stable and the next is 36.4 kJ/mol of atoms up.